Here is crystalline YIr3 at its relaxed geometry from Alexandria. Energies are from GGA-PBE.

Cell: 5.313 5.313 9.306 Å, 73.41 73.41 60.00°
Positions (direct):
1 Y 0.000 0.000 0.000
2 Y 0.139 0.139 0.582
3 Y 0.861 0.861 0.418
4 Ir 0.500 0.500 0.500
5 Ir 0.333 0.333 0.002
6 Ir 0.667 0.667 0.998
7 Ir 0.582 0.083 0.754
8 Ir 0.083 0.582 0.754
9 Ir 0.582 0.582 0.754
10 Ir 0.418 0.418 0.246
11 Ir 0.418 0.917 0.246
12 Ir 0.917 0.418 0.246

Output
Electronic total energy ... -106.083 eV per cell
Formation energy ... -578 meV per atom